[1]
Compound: LaZr2Ni
Source: Alexandria via LeMat-Bulk
Functional: PBE
Structure: relaxed

Properties
Volume ... 179.3 Å³/cell
Magnetization ... 0.00 μB/f.u.
D(E_F) ... 1.311 states/eV per atom
Density ... 7039 kg/m³
Energy above the most stable polymorph in this dataset ... 296 meV/atom

abc: 4.182 4.182 10.253
angles: 90.00 90.00 90.00
Element x y z (fractional)
La 0.000 0.000 0.000
La 0.500 0.500 0.500
Zr 0.000 0.500 0.250
Zr 0.000 0.500 0.750
Zr 0.500 0.000 0.250
Zr 0.500 0.000 0.750
Ni 0.000 0.000 0.500
Ni 0.500 0.500 0.000

***

[2]
Compound: LiLaPmMg
Source: Alexandria via LeMat-Bulk
Functional: PBE
Structure: relaxed

Properties
Volume ... 473.4 Å³/cell
Magnetization ... 0.00 μB/f.u.
D(E_F) ... 1.478 states/eV per atom
Density ... 4421 kg/m³
Total DFT energy (no corrections) ... -3.280 eV per atom

abc: 7.794 7.794 7.794
angles: 90.00 90.00 90.00
Element x y z (fractional)
Li 0.000 0.000 0.000
Li 0.000 0.500 0.500
Li 0.500 0.000 0.500
Li 0.500 0.500 0.000
La 0.250 0.250 0.250
La 0.250 0.750 0.750
La 0.750 0.250 0.750
La 0.750 0.750 0.250
Pm 0.250 0.250 0.750
Pm 0.250 0.750 0.250
Pm 0.750 0.250 0.250
Pm 0.750 0.750 0.750
Mg 0.000 0.000 0.500
Mg 0.000 0.500 0.000
Mg 0.500 0.000 0.000
Mg 0.500 0.500 0.500

***

[3]
Compound: Li2CrCl
Source: Alexandria via LeMat-Bulk
Functional: PBE
Structure: relaxed

Properties
Volume ... 165.1 Å³/cell
Magnetization ... 5.01 μB/f.u.
D(E_F) ... 0.325 states/eV per atom
Density ... 2038 kg/m³
Energy above the most stable polymorph in this dataset ... 190 meV/atom

abc: 8.368 3.232 6.325
angles: 90.00 105.17 90.00
Element x y z (fractional)
Li 0.000 0.000 0.000
Li 0.197 0.500 0.755
Li 0.500 0.500 0.000
Li 0.697 0.000 0.755
Cr 0.318 0.000 0.239
Cr 0.818 0.500 0.239
Cl 0.396 0.000 0.665
Cl 0.896 0.500 0.665

***

[4]
Compound: La2Sc2Al
Source: Alexandria via LeMat-Bulk
Functional: PBE
Structure: relaxed

Properties
Volume ... 285.2 Å³/cell
Magnetization ... 0.00 μB/f.u.
D(E_F) ... 1.147 states/eV per atom
Density ... 4597 kg/m³
Energy above the most stable polymorph in this dataset ... 0 meV/atom

abc: 7.610 7.610 4.924
angles: 90.00 90.00 90.00
Element x y z (fractional)
La 0.158 0.342 0.000
La 0.342 0.842 0.000
La 0.658 0.158 0.000
La 0.842 0.658 0.000
Sc 0.148 0.648 0.500
Sc 0.352 0.148 0.500
Sc 0.648 0.852 0.500
Sc 0.852 0.352 0.500
Al 0.000 0.000 0.500
Al 0.500 0.500 0.500

***

[5]
Compound: Rb2UGeS6
Source: Alexandria via LeMat-Bulk
Functional: PBE
Structure: relaxed

Properties
Volume ... 251.4 Å³/cell
Magnetization ... 0.00 μB/f.u.
D(E_F) ... 0.633 states/eV per atom
Density ... 4452 kg/m³
Total DFT energy (no corrections) ... -5.088 eV per atom

abc: 7.067 7.067 7.067
angles: 60.32 60.32 60.32
Element x y z (fractional)
Rb 0.250 0.250 0.250
Rb 0.750 0.750 0.750
U 0.000 0.000 0.000
Ge 0.500 0.500 0.500
S 0.230 0.747 0.278
S 0.253 0.722 0.770
S 0.278 0.230 0.747
S 0.722 0.770 0.253
S 0.747 0.278 0.230
S 0.770 0.253 0.722

***

[6]
Compound: Dy6RuPb3
Source: Alexandria via LeMat-Bulk
Functional: PBE
Structure: relaxed

Properties
Volume ... 585.4 Å³/cell
Magnetization ... 0.00 μB/f.u.
D(E_F) ... 0.960 states/eV per atom
Density ... 9631 kg/m³
Total DFT energy (no corrections) ... -5.162 eV per atom

abc: 6.176 8.762 12.253
angles: 90.00 118.02 90.00
Element x y z (fractional)
Dy 0.063 0.154 0.442
Dy 0.063 0.346 0.942
Dy 0.338 0.704 0.437
Dy 0.338 0.796 0.937
Dy 0.405 0.049 0.269
Dy 0.405 0.451 0.769
Dy 0.595 0.549 0.231
Dy 0.595 0.951 0.731
Dy 0.662 0.204 0.063
Dy 0.662 0.296 0.563
Dy 0.937 0.654 0.058
Dy 0.937 0.846 0.558
Ru 0.500 0.000 0.500
Ru 0.500 0.500 0.000
Pb 0.000 0.000 0.000
Pb 0.000 0.500 0.500
Pb 0.165 0.113 0.765
Pb 0.165 0.387 0.265
Pb 0.835 0.613 0.735
Pb 0.835 0.887 0.235